1.
Density functional theory data (meta-GGA SCAN) for FeCuI2 at its PBEsol-relaxed geometry.

Computed properties:
- Space group: Fm-3m (225)
- Volume: 21.18 A^3/atom
- Calculated total energy: -26.00 eV per atom

Cell: 4.930 4.930 4.930 Å, 60.00 60.00 60.00°
Site moments in Bohr magnetons follow the coordinates.
Element x y z (fractional)
I  0.250  0.250  0.250  0.08
I  0.750  0.750  0.750  0.08
Fe  0.000  0.000  0.000  3.08
Cu  0.500  0.500  0.500  0.01


2.
Density functional theory data (meta-GGA SCAN) for In2FeCuI at its PBEsol-relaxed geometry.

Computed properties:
- Space group: P4/mmm (123)
- Volume: 24.64 A^3/atom
- Calculated total energy: -26.64 eV per atom

Cell: 4.886 5.022 5.022 Å, 90.00 90.00 90.00°
Site moments in Bohr magnetons follow the coordinates.
Element x y z (fractional)
I  0.500  0.000  0.000  0.09
Fe  0.000  0.000  0.000  2.27
Cu  0.500  0.500  0.500  0.03
In  0.000  0.000  0.500  -0.07
In  0.000  0.500  0.000  -0.07


3.
Density functional theory data (meta-GGA SCAN) for FeCuTe2I at its PBEsol-relaxed geometry.

Computed properties:
- Space group: P4/mmm (123)
- Volume: 26.04 A^3/atom
- Calculated total energy: -28.18 eV per atom

Cell: 4.865 4.865 5.502 Å, 90.00 90.00 90.00°
Site moments in Bohr magnetons follow the coordinates.
Element x y z (fractional)
I  0.000  0.000  0.500  0.03
Te  0.000  0.500  0.000  0.18
Te  0.500  0.000  0.000  0.18
Fe  0.000  0.000  0.000  2.56
Cu  0.500  0.500  0.500  0.01


4.
Density functional theory data (meta-GGA SCAN) for Fe2CuIr at its PBEsol-relaxed geometry.

Computed properties:
- Space group: Pmmm (47)
- Volume: 12.01 A^3/atom
- Calculated total energy: -30.69 eV per atom
- Formation energy: -18 kJ/mol of formula units

Cell: 2.590 3.658 5.071 Å, 90.00 90.00 90.00°
Site moments in Bohr magnetons follow the coordinates.
Element x y z (fractional)
Ir  0.500  0.500  0.000  0.11
Fe  0.000  0.000  0.748  2.86
Fe  0.000  0.000  0.251  2.86
Cu  0.500  0.500  0.500  0.13


5.
Density functional theory data (meta-GGA SCAN) for FeCuIr2 at its PBEsol-relaxed geometry.

Computed properties:
- Space group: C2/m (12)
- Volume: 12.91 A^3/atom
- Calculated total energy: -43.95 eV per atom
- Formation energy: -28 kJ/mol of formula units
- Energy relative to the lowest polymorph listed for this composition: 0.0 meV/atom

Cell: 2.663 4.474 4.620 Å, 100.21 90.00 107.31°
Site moments in Bohr magnetons follow the coordinates.
Element x y z (fractional)
Ir  0.756  0.512  0.753  0.24
Ir  0.244  0.488  0.247  0.24
Fe  0.500  0.000  0.000  3.10
Cu  0.000  0.000  0.500  0.07


6.
Density functional theory data (meta-GGA SCAN) for FeCuIr2 at its PBEsol-relaxed geometry.

Computed properties:
- Space group: Cm (8)
- Volume: 12.81 A^3/atom
- Calculated total energy: -43.87 eV per atom
- Formation energy: 3 kJ/mol of formula units
- Energy relative to the lowest polymorph listed for this composition: 80.5 meV/atom

Cell: 2.674 4.441 4.585 Å, 99.90 106.95 90.00°
Site moments in Bohr magnetons follow the coordinates.
Element x y z (fractional)
Cu  0.500  0.493  0.999  0.10
Fe  0.748  0.253  0.495  3.00
Ir  0.000  0.998  0.000  0.13
Ir  0.253  0.756  0.506  0.10


7.
Density functional theory data (meta-GGA SCAN) for Fe2CuIr at its PBEsol-relaxed geometry.

Computed properties:
- Space group: Cmmm (65)
- Volume: 12.05 A^3/atom
- Calculated total energy: -30.75 eV per atom
- Formation energy: -42 kJ/mol of formula units

Cell: 2.596 4.443 4.443 Å, 109.84 90.00 90.00°
Site moments in Bohr magnetons follow the coordinates.
Element x y z (fractional)
Ir  0.500  0.000  0.000  0.19
Fe  0.000  0.500  0.000  2.88
Fe  0.000  0.000  0.500  2.88
Cu  0.500  0.500  0.500  0.13


8.
Density functional theory data (meta-GGA SCAN) for FeCuIr2 at its PBEsol-relaxed geometry.

Computed properties:
- Space group: Cmm2 (35)
- Volume: 13.24 A^3/atom
- Calculated total energy: -43.67 eV per atom
- Formation energy: 81 kJ/mol of formula units
- Energy relative to the lowest polymorph listed for this composition: 282.6 meV/atom

Cell: 2.623 2.623 8.810 Å, 90.00 90.00 119.11°
Site moments in Bohr magnetons follow the coordinates.
Element x y z (fractional)
Cu  0.000  0.000  0.490  0.04
Fe  0.500  0.500  0.255  3.00
Ir  0.000  0.000  0.012  0.28
Ir  0.500  0.500  0.742  0.02